# Pr4Nd4Sm5 PBE relaxed
data_Pr4Nd4Sm5
_chemical_formula_sum 'Pr8 Nd8 Sm10'
_space_group_name_H-M_alt 'I 4/m'
_space_group_IT_number 87
_space_group_name_Hall '-I 4'
_cell_length_a 13.2781
_cell_length_b 13.2781
_cell_length_c 5.1702
_cell_angle_alpha 90.00
_cell_angle_beta 90.00
_cell_angle_gamma 90.00
loop_
_atom_site_label
_atom_site_fract_x
_atom_site_fract_y
_atom_site_fract_z
_atom_site_occupancy
Pr1 0.0780 0.3837 0.0000 1
Nd1 0.1531 0.7703 0.0000 1
Sm1 0.0000 0.0000 0.0000 1
Sm2 0.0387 0.1906 0.5000 1
# N(E_F) in states/eV/cell: 40.032
# Calculated formation energy in meV/atom: 13